Record 1
Material: SnHgTe3Pb
Method: DFT, PBE
State: optimized geometry

## Properties
Energy relative to the elements, uncorrected (eV/atom): -0.21

Cell: 4.583 9.090 10.205 Å, 102.12 90.00 90.00°
Fractional positions:
Pb1 0.250 0.191 0.197
Sn1 0.250 0.668 0.136
Te1 0.250 0.757 0.493
Te2 0.750 0.428 0.166
Hg1 0.750 0.897 0.405
Sn2 0.750 0.332 0.864
Te3 0.250 0.089 0.878
Te4 0.750 0.243 0.507
Te5 0.750 0.911 0.122
Te6 0.250 0.572 0.834
Hg2 0.250 0.103 0.595
Pb2 0.750 0.809 0.803


Record 2
Material: AsP2W2
Method: DFT, PBE
State: optimized geometry

## Properties
E_form (eV/atom): 0.04

Cell: 7.086 7.086 3.043 Å, 90.00 90.00 90.00°
Fractional positions:
As1 0.500 0.500 0.000
As2 0.000 0.000 0.000
W1 0.352 0.852 0.000
W2 0.148 0.352 0.000
W3 0.852 0.648 0.000
W4 0.648 0.148 0.000
P1 0.138 0.638 0.500
P2 0.862 0.362 0.500
P3 0.362 0.138 0.500
P4 0.638 0.862 0.500


Record 3
Material: Tb7MgAl4
Method: DFT, PBE
State: optimized geometry

## Properties
E_form (eV/atom): -0.06

Cell: 5.588 8.901 7.472 Å, 75.39 68.04 71.71°
Fractional positions:
Tb1 0.794 0.882 0.530
Al1 0.677 0.663 0.984
Tb2 0.500 0.000 0.000
Tb3 0.720 0.330 0.230
Al2 0.452 0.747 0.348
Tb4 0.206 0.118 0.470
Mg1 0.000 0.000 0.000
Al3 0.548 0.253 0.652
Tb5 0.280 0.670 0.770
Al4 0.323 0.337 0.016
Tb6 0.932 0.391 0.744
Tb7 0.068 0.609 0.256


Record 4
Material: Pr2YHoS6
Method: DFT, PBE
State: optimized geometry

## Properties
Energy relative to the elements, uncorrected (eV/atom): -2.03

Cell: 7.086 7.086 7.430 Å, 61.52 61.52 60.00°
Fractional positions:
Ho1 0.817 0.817 0.550
S1 0.104 0.439 0.759
S2 0.439 0.698 0.758
Y1 0.316 0.316 0.051
S3 0.938 0.606 0.260
Pr1 0.523 0.523 0.430
S4 0.606 0.197 0.260
S5 0.197 0.938 0.260
Pr2 0.023 0.023 0.930
S6 0.698 0.104 0.758


Record 5
Material: Sm2YCd
Method: DFT, PBE
State: optimized geometry

## Properties
E_form (eV/atom): -0.06

Cell: 3.616 3.616 11.216 Å, 80.72 80.72 60.00°
Fractional positions:
Y1 0.500 0.500 0.500
Sm1 0.255 0.255 0.235
Cd1 0.000 0.000 0.000
Sm2 0.745 0.745 0.765


Record 6
Material: RbAgTe4As2
Method: DFT, PBE
State: optimized geometry

## Properties
Energy relative to the elements, uncorrected (eV/atom): -0.06

Cell: 5.946 7.258 7.258 Å, 73.81 65.82 65.82°
Fractional positions:
Te1 0.409 0.472 0.951
As1 0.128 0.372 0.372
Ag1 0.500 0.500 0.500
Rb1 0.000 0.000 0.000
As2 0.872 0.628 0.628
Te2 0.168 0.951 0.472
Te3 0.591 0.049 0.528
Te4 0.832 0.528 0.049


Record 7
Material: Cs2UTl3Te6
Method: DFT, PBE
State: optimized geometry

## Properties
Energy relative to the elements, uncorrected (eV/atom): -0.57

Cell: 9.492 9.492 7.969 Å, 100.80 100.80 124.26°
Fractional positions:
Te1 0.787 0.787 0.210
U1 0.000 0.000 0.000
Cs1 0.322 0.678 0.000
Cs2 0.678 0.322 0.000
Te2 0.336 0.086 0.235
Te3 0.086 0.336 0.235
Te4 0.664 0.914 0.765
Tl1 0.129 0.871 0.500
Tl2 0.500 0.500 0.500
Tl3 0.871 0.129 0.500
Te5 0.914 0.664 0.765
Te6 0.213 0.213 0.790


Record 8
Material: Ba2NaHg
Method: DFT, PBE
State: optimized geometry

## Properties
E_form (eV/atom): -0.29

Cell: 4.269 4.269 9.520 Å, 90.00 90.00 90.00°
Fractional positions:
Na1 0.500 0.500 0.500
Ba1 0.000 0.000 0.793
Ba2 0.000 0.000 0.207
Hg1 0.500 0.500 0.000


| no. | theoretical density (Mg/m³) |
| --- | --- |
| 1 | 7.26 |
| 2 | 10.97 |
| 3 | 6.39 |
| 4 | 4.48 |
| 5 | 6.68 |
| 6 | 5.49 |
| 7 | 5.75 |
| 8 | 4.77 |